A plane-wave DFT calculation with PBE-GGA was carried out for a relaxed RbBeTlPd crystal.

Polymorph energy (0 for the lowest one) (meV per atom): 0
Magnetization (μB per atom): 0.00

Lattice parameters (Å, degrees): 6.8861 4.0017 7.9781 90.00 106.84 90.00
Last column: nearest neighbours and their distance in Å.
Space group Cm (No. 8)
One atom of each set of equivalent atoms:
Rb: 0.0000 0.0000 0.0000 (multiplicity 2)  3 Pd 3.57, 3 Be 3.67-3.69, 3 Tl 3.80-3.82, 4 Rb 3.98
Be: 0.4584 0.0000 0.3762 (multiplicity 2)  3 Pd 2.31
Tl: 0.2047 0.0000 0.6032 (multiplicity 2)  3 Be 2.86-2.89, 3 Pd 2.97-2.98
Pd: 0.2864 0.5000 0.3577 (multiplicity 2)  3 Be 2.31